(1)
VASP calculation (GGA-PBE) on a relaxed LaPm2HoBi5 crystal.

Computed properties:
VASP energy: -4.44 eV/atom
density: 7.64 g/cm3

extended XYZ file:
```
9
Lattice="5.403 0.000 0.000 0.000 5.403 0.000 0.000 0.000 12.195" Properties=species:S:1:pos:R:3 pbc="T T T"
Pm 2.702 2.702 3.282
Pm 2.702 2.702 8.913
Bi 0.000 0.000 9.130
Bi 0.000 2.702 6.097
Bi 0.000 0.000 3.065
Bi 2.702 2.702 0.000
Bi 2.702 0.000 6.097
La 0.000 0.000 0.000
Ho 0.000 0.000 6.097
```



(2)
VASP calculation (GGA-PBE) on a relaxed LiSmTiRu crystal.

Computed properties:
VASP energy: -6.02 eV/atom
density: 6.89 g/cm3

extended XYZ file:
```
4
Lattice="4.707 0.000 0.000 2.354 4.077 0.000 2.354 1.359 3.844" Properties=species:S:1:pos:R:3 pbc="T T T"
Li 2.354 1.359 0.961
Ru 7.061 4.077 2.883
Ti 4.707 2.718 1.922
Sm 0.000 0.000 0.000
```



(3)
VASP calculation (GGA-PBE) on a relaxed CeHoThIn crystal.

Computed properties:
VASP energy: -5.20 eV/atom
density: 9.44 g/cm3

extended XYZ file:
```
4
Lattice="-0.675 -3.897 -3.754 -1.721 -4.955 1.493 -5.020 -1.660 -1.335" Properties=species:S:1:pos:R:3 pbc="T T T"
Ho 0.000 0.000 0.000
Ce -3.708 -5.256 -1.798
In -1.854 -2.628 -0.899
Th -5.562 -7.884 -2.698
```